No. 1
First-principles (PBE) data for a geometry-optimized Pm2Sm4Tm3 structure, as listed in the Alexandria database.

Lattice parameters (Å, degrees): 5.983 10.256 10.256 69.87 83.79 83.79
Atoms (fractional coordinates):
Tm 0.750 0.651 0.349
Tm 0.916 0.016 0.317
Tm 0.084 0.984 0.683
Tm 0.416 0.317 0.016
Tm 0.584 0.683 0.984
Tm 0.250 0.349 0.651
Sm 0.543 0.046 0.829
Sm 0.876 0.379 0.162
Sm 0.124 0.621 0.838
Sm 0.457 0.954 0.171
Sm 0.376 0.162 0.379
Sm 0.043 0.829 0.046
Sm 0.624 0.838 0.621
Sm 0.957 0.171 0.954
Pm 0.290 0.505 0.287
Pm 0.210 0.713 0.495
Pm 0.710 0.495 0.713
Pm 0.790 0.287 0.505

Output
- volume (Å³ per atom) = 32.537
- space-group type = C2/c (15)
- formation energy (eV per atom) = 0.09
- relative energy among the computed polymorphs (meV/atom) = 36

=====

No. 2
First-principles (PBE) data for a geometry-optimized Pm2Sm3Tm4 structure, as listed in the Alexandria database.

Lattice parameters (Å, degrees): 6.083 11.249 11.249 62.18 63.16 63.16
Atoms (fractional coordinates):
Pm 0.565 0.727 0.489
Pm 0.435 0.273 0.511
Pm 0.935 0.511 0.273
Pm 0.065 0.489 0.727
Sm 0.250 0.644 0.356
Sm 0.761 0.014 0.313
Sm 0.750 0.356 0.644
Sm 0.239 0.986 0.687
Sm 0.261 0.313 0.014
Sm 0.739 0.687 0.986
Tm 0.403 0.621 0.845
Tm 0.903 0.845 0.621
Tm 0.597 0.379 0.155
Tm 0.922 0.171 0.949
Tm 0.422 0.949 0.171
Tm 0.078 0.829 0.051
Tm 0.097 0.155 0.379
Tm 0.578 0.051 0.829

Output
- volume (Å³ per atom) = 32.137
- space-group type = C2/c (15)
- formation energy (eV per atom) = 0.10
- relative energy among the computed polymorphs (meV/atom) = 77

=====

No. 3
First-principles (PBE) data for a geometry-optimized Pm3SmTm4 structure, as listed in the Alexandria database.

Lattice parameters (Å, degrees): 3.574 6.183 13.738 81.27 121.35 89.98
Atoms (fractional coordinates):
Sm 0.500 0.000 0.000
Pm 0.500 0.500 0.500
Pm 0.000 0.000 0.500
Pm 0.000 0.500 0.000
Tm 0.000 0.250 0.250
Tm 0.500 0.250 0.750
Tm 0.000 0.750 0.750
Tm 0.500 0.750 0.250

Output
- volume (Å³ per atom) = 31.889
- space-group type = P2/m (10)
- formation energy (eV per atom) = 0.02
- relative energy among the computed polymorphs (meV/atom) = 0